First-principles (GGA-PBE) data for crystalline Dy4Ho19Er6 at its relaxed geometry, as listed in Alexandria via LeMat-Bulk.

Cell lengths 10.689, 10.689, 10.689 Å; angles 109.47, 109.47, 109.47 degrees
Fractional positions:
Dy1 0.000 0.000 0.643
Dy2 0.000 0.643 0.000
Dy3 0.357 0.357 0.357
Dy4 0.643 0.000 0.000
Ho1 0.000 0.000 0.000
Ho2 0.000 0.262 0.262
Ho3 0.000 0.738 0.738
Ho4 0.014 0.800 0.340
Ho5 0.200 0.214 0.540
Ho6 0.214 0.540 0.200
Ho7 0.262 0.000 0.262
Ho8 0.262 0.262 0.000
Ho9 0.326 0.786 0.986
Ho10 0.340 0.014 0.800
Ho11 0.460 0.674 0.660
Ho12 0.540 0.200 0.214
Ho13 0.660 0.460 0.674
Ho14 0.674 0.660 0.460
Ho15 0.738 0.000 0.738
Ho16 0.738 0.738 0.000
Ho17 0.786 0.986 0.326
Ho18 0.800 0.340 0.014
Ho19 0.986 0.326 0.786
Er1 0.128 0.628 0.500
Er2 0.372 0.500 0.872
Er3 0.500 0.128 0.628
Er4 0.500 0.872 0.372
Er5 0.628 0.500 0.128
Er6 0.872 0.372 0.500

## Properties
As for the formation energy: 11.5 eV per formula unit. The volume is 32.421 A^3/atom. The electronic total energy is -4.18 eV per atom. The calculation puts the density of states at the Fermi level at 1.53 states/eV/atom. As for the magnetization: 0.0 Bohr magnetons per cell. The density comes out at 8.5 g/cm3.